Here is Pt7Rh3 after structural relaxation from the Alexandria database. Energies are from PBE.

Output
For the formation energy, the calculation gives -0.02 eV per atom. The symmetry is No. 12. The calculation puts the total energy at -64.51 eV for the cell shown.

Structure (CIF):
```
data_Pt7Rh3
_chemical_formula_sum 'Pt7 Rh3'
_cell_length_a 7.3592
_cell_length_b 7.3592
_cell_length_c 5.5953
_cell_angle_alpha 101.01
_cell_angle_beta 101.01
_cell_angle_gamma 30.81
_space_group_name_H-M_alt 'P 1'
_space_group_IT_number 1
_space_group_name_Hall 'P 1'
loop_
_atom_site_label
_atom_site_type_symbol
_atom_site_fract_x
_atom_site_fract_y
_atom_site_fract_z
Pt1 Pt 0.0000 0.0000 0.0000
Pt2 Pt 0.2000 0.2000 0.6021
Pt3 Pt 0.3991 0.3991 0.1988
Pt4 Pt 0.3998 0.3998 0.6994
Pt5 Pt 0.6002 0.6002 0.3006
Pt6 Pt 0.6009 0.6009 0.8012
Pt7 Pt 0.8000 0.8000 0.3979
Rh1 Rh 0.0000 0.0000 0.5000
Rh2 Rh 0.2010 0.2010 0.0987
Rh3 Rh 0.7990 0.7990 0.9013
```

=====

Here is PtRh3 after structural relaxation from the Alexandria database. Energies are from PBE.

Output
For the formation energy, the calculation gives 0.27 eV per atom. The symmetry is No. 63. The calculation puts the total energy at -53.99 eV for the cell shown.

Structure (CIF):
```
data_PtRh3
_chemical_formula_sum 'Pt2 Rh6'
_cell_length_a 5.1656
_cell_length_b 5.1656
_cell_length_c 4.6902
_cell_angle_alpha 90.00
_cell_angle_beta 90.00
_cell_angle_gamma 90.32
_space_group_name_H-M_alt 'P 1'
_space_group_IT_number 1
_space_group_name_Hall 'P 1'
loop_
_atom_site_label
_atom_site_type_symbol
_atom_site_fract_x
_atom_site_fract_y
_atom_site_fract_z
Pt1 Pt 0.0666 0.9334 0.7500
Pt2 Pt 0.9334 0.0666 0.2500
Rh1 Rh 0.0897 0.5613 0.2500
Rh2 Rh 0.4165 0.5835 0.7500
Rh3 Rh 0.4387 0.9103 0.2500
Rh4 Rh 0.5613 0.0897 0.7500
Rh5 Rh 0.5835 0.4165 0.2500
Rh6 Rh 0.9103 0.4387 0.7500
```

=====

Here is PtRh after structural relaxation from the Alexandria database. Energies are from PBE.

Output
For the formation energy, the calculation gives 0.10 eV per atom. The symmetry is No. 31. The calculation puts the total energy at -79.16 eV for the cell shown.

Structure (CIF):
```
data_PtRh
_chemical_formula_sum 'Pt6 Rh6'
_cell_length_a 7.5142
_cell_length_b 5.2007
_cell_length_c 4.6969
_cell_angle_alpha 90.00
_cell_angle_beta 90.00
_cell_angle_gamma 90.00
_space_group_name_H-M_alt 'P 1'
_space_group_IT_number 1
_space_group_name_Hall 'P 1'
loop_
_atom_site_label
_atom_site_type_symbol
_atom_site_fract_x
_atom_site_fract_y
_atom_site_fract_z
Pt1 Pt 0.0000 0.1966 0.0000
Pt2 Pt 0.1774 0.5686 0.3443
Pt3 Pt 0.3226 0.4314 0.8443
Pt4 Pt 0.5000 0.8034 0.5000
Pt5 Pt 0.6774 0.4314 0.8443
Pt6 Pt 0.8226 0.5686 0.3443
Rh1 Rh 0.0000 0.7027 0.8398
Rh2 Rh 0.1779 0.0630 0.5010
Rh3 Rh 0.3221 0.9370 0.0010
Rh4 Rh 0.5000 0.2973 0.3398
Rh5 Rh 0.6779 0.9370 0.0010
Rh6 Rh 0.8221 0.0630 0.5010
```

=====

Here is PtRh3 after structural relaxation from the Alexandria database. Energies are from PBE.

Output
For the formation energy, the calculation gives 0.05 eV per atom. The symmetry is No. 1. The calculation puts the total energy at -27.91 eV for the cell shown.

Structure (CIF):
```
data_PtRh3
_chemical_formula_sum 'Pt1 Rh3'
_cell_length_a 2.7504
_cell_length_b 4.7498
_cell_length_c 5.2391
_cell_angle_alpha 116.79
_cell_angle_beta 105.08
_cell_angle_gamma 90.01
_space_group_name_H-M_alt 'P 1'
_space_group_IT_number 1
_space_group_name_Hall 'P 1'
loop_
_atom_site_label
_atom_site_type_symbol
_atom_site_fract_x
_atom_site_fract_y
_atom_site_fract_z
Pt1 Pt 0.0000 0.0000 0.0000
Rh1 Rh 0.2495 0.9117 0.4972
Rh2 Rh 0.5004 0.4999 0.0002
Rh3 Rh 0.7523 0.4147 0.5034
```

=====

Here is Pt2Rh3 after structural relaxation from the Alexandria database. Energies are from PBE.

Output
For the formation energy, the calculation gives 0.42 eV per atom. The symmetry is No. 164. For the energy above the lowest structure with this stoichiometry, the calculation gives 0.311 eV per atom. The calculation puts the total energy at -32.06 eV for the cell shown.

Structure (CIF):
```
data_Pt2Rh3
_chemical_formula_sum 'Pt2 Rh3'
_cell_length_a 4.2831
_cell_length_b 4.2831
_cell_length_c 5.2871
_cell_angle_alpha 90.00
_cell_angle_beta 90.00
_cell_angle_gamma 120.00
_space_group_name_H-M_alt 'P 1'
_space_group_IT_number 1
_space_group_name_Hall 'P 1'
loop_
_atom_site_label
_atom_site_type_symbol
_atom_site_fract_x
_atom_site_fract_y
_atom_site_fract_z
Pt1 Pt 0.3333 0.6667 0.3542
Pt2 Pt 0.6667 0.3333 0.6458
Rh1 Rh 0.0000 0.0000 0.5000
Rh2 Rh 0.3333 0.6667 0.8705
Rh3 Rh 0.6667 0.3333 0.1295
```

=====

Here is PtRh after structural relaxation from the Alexandria database. Energies are from PBE.

Output
For the formation energy, the calculation gives 0.04 eV per atom. The symmetry is No. 62. The calculation puts the total energy at -53.23 eV for the cell shown.

Structure (CIF):
```
data_PtRh
_chemical_formula_sum 'Pt4 Rh4'
_cell_length_a 4.7583
_cell_length_b 4.5584
_cell_length_c 5.5297
_cell_angle_alpha 90.00
_cell_angle_beta 90.00
_cell_angle_gamma 90.00
_space_group_name_H-M_alt 'P 1'
_space_group_IT_number 1
_space_group_name_Hall 'P 1'
loop_
_atom_site_label
_atom_site_type_symbol
_atom_site_fract_x
_atom_site_fract_y
_atom_site_fract_z
Pt1 Pt 0.0834 0.2500 0.1246
Pt2 Pt 0.4166 0.7500 0.6246
Pt3 Pt 0.5834 0.2500 0.3754
Pt4 Pt 0.9166 0.7500 0.8754
Rh1 Rh 0.0828 0.2500 0.6260
Rh2 Rh 0.4172 0.7500 0.1260
Rh3 Rh 0.5828 0.2500 0.8740
Rh4 Rh 0.9172 0.7500 0.3740
```

=====

Here is PtRh after structural relaxation from the Alexandria database. Energies are from PBE.

Output
For the formation energy, the calculation gives 0.20 eV per atom. The symmetry is No. 227. The calculation puts the total energy at -25.99 eV for the cell shown.

Structure (CIF):
```
data_PtRh
_chemical_formula_sum 'Pt2 Rh2'
_cell_length_a 4.4179
_cell_length_b 4.4179
_cell_length_c 4.4179
_cell_angle_alpha 60.00
_cell_angle_beta 60.00
_cell_angle_gamma 60.00
_space_group_name_H-M_alt 'P 1'
_space_group_IT_number 1
_space_group_name_Hall 'P 1'
loop_
_atom_site_label
_atom_site_type_symbol
_atom_site_fract_x
_atom_site_fract_y
_atom_site_fract_z
Pt1 Pt 0.1250 0.1250 0.1250
Pt2 Pt 0.8750 0.8750 0.8750
Rh1 Rh 0.3750 0.3750 0.3750
Rh2 Rh 0.6250 0.6250 0.6250
```

=====

Here is Pt13Rh3 after structural relaxation from the Alexandria database. Energies are from PBE.

Output
For the formation energy, the calculation gives 0.02 eV per atom. The symmetry is No. 38. For the energy above the lowest structure with this stoichiometry, the calculation gives 0.030 eV per atom. The calculation puts the total energy at -100.26 eV for the cell shown.

Structure (CIF):
```
data_Pt13Rh3
_chemical_formula_sum 'Pt13 Rh3'
_cell_length_a 5.4540
_cell_length_b 6.7620
_cell_length_c 6.7620
_cell_angle_alpha 90.01
_cell_angle_beta 90.00
_cell_angle_gamma 90.00
_space_group_name_H-M_alt 'P 1'
_space_group_IT_number 1
_space_group_name_Hall 'P 1'
loop_
_atom_site_label
_atom_site_type_symbol
_atom_site_fract_x
_atom_site_fract_y
_atom_site_fract_z
Pt1 Pt 0.0000 0.0000 0.0000
Pt2 Pt 0.0000 0.0006 0.4939
Pt3 Pt 0.0000 0.4935 0.4935
Pt4 Pt 0.0000 0.4939 0.0006
Pt5 Pt 0.2510 0.2456 0.7488
Pt6 Pt 0.2506 0.7482 0.7482
Pt7 Pt 0.2510 0.7488 0.2456
Pt8 Pt 0.5000 0.0003 0.4941
Pt9 Pt 0.5000 0.4932 0.4932
Pt10 Pt 0.5000 0.4941 0.0003
Pt11 Pt 0.7490 0.2456 0.7488
Pt12 Pt 0.7494 0.7482 0.7482
Pt13 Pt 0.7490 0.7488 0.2456
Rh1 Rh 0.2513 0.2445 0.2445
Rh2 Rh 0.5000 0.0002 0.0002
Rh3 Rh 0.7487 0.2445 0.2445
```

=====

Here is Pt6Rh7 after structural relaxation from the Alexandria database. Energies are from PBE.

Output
For the formation energy, the calculation gives 0.26 eV per atom. The symmetry is No. 166. The calculation puts the total energy at -84.27 eV for the cell shown.

Structure (CIF):
```
data_Pt6Rh7
_chemical_formula_sum 'Pt6 Rh7'
_cell_length_a 9.2706
_cell_length_b 9.2706
_cell_length_c 9.2706
_cell_angle_alpha 32.29
_cell_angle_beta 32.29
_cell_angle_gamma 32.29
_space_group_name_H-M_alt 'P 1'
_space_group_IT_number 1
_space_group_name_Hall 'P 1'
loop_
_atom_site_label
_atom_site_type_symbol
_atom_site_fract_x
_atom_site_fract_y
_atom_site_fract_z
Pt1 Pt 0.0509 0.0509 0.0509
Pt2 Pt 0.1568 0.1568 0.1568
Pt3 Pt 0.3346 0.3346 0.3346
Pt4 Pt 0.6654 0.6654 0.6654
Pt5 Pt 0.8432 0.8432 0.8432
Pt6 Pt 0.9491 0.9491 0.9491
Rh1 Rh 0.0836 0.5875 0.5875
Rh2 Rh 0.4125 0.4125 0.9164
Rh3 Rh 0.4125 0.9164 0.4125
Rh4 Rh 0.5000 0.5000 0.5000
Rh5 Rh 0.5875 0.0836 0.5875
Rh6 Rh 0.5875 0.5875 0.0836
Rh7 Rh 0.9164 0.4125 0.4125
```

=====

Here is Pt3Rh after structural relaxation from the Alexandria database. Energies are from PBE.

Output
For the formation energy, the calculation gives 1.79 eV per atom. The symmetry is No. 221. The calculation puts the total energy at -18.32 eV for the cell shown.

Structure (CIF):
```
data_Pt3Rh
_chemical_formula_sum 'Pt3 Rh1'
_cell_length_a 4.8533
_cell_length_b 4.8533
_cell_length_c 4.8533
_cell_angle_alpha 90.00
_cell_angle_beta 90.00
_cell_angle_gamma 90.00
_space_group_name_H-M_alt 'P 1'
_space_group_IT_number 1
_space_group_name_Hall 'P 1'
loop_
_atom_site_label
_atom_site_type_symbol
_atom_site_fract_x
_atom_site_fract_y
_atom_site_fract_z
Pt1 Pt 0.0000 0.0000 0.5000
Pt2 Pt 0.0000 0.5000 0.0000
Pt3 Pt 0.5000 0.0000 0.0000
Rh1 Rh 0.0000 0.0000 0.0000
```

=====

Here is Pt5Rh after structural relaxation from the Alexandria database. Energies are from PBE.

Output
For the formation energy, the calculation gives -0.02 eV per atom. The symmetry is No. 123. The calculation puts the total energy at -37.69 eV for the cell shown.

Structure (CIF):
```
data_Pt5Rh
_chemical_formula_sum 'Pt5 Rh1'
_cell_length_a 2.7856
_cell_length_b 2.7856
_cell_length_c 11.9205
_cell_angle_alpha 90.00
_cell_angle_beta 90.00
_cell_angle_gamma 90.00
_space_group_name_H-M_alt 'P 1'
_space_group_IT_number 1
_space_group_name_Hall 'P 1'
loop_
_atom_site_label
_atom_site_type_symbol
_atom_site_fract_x
_atom_site_fract_y
_atom_site_fract_z
Pt1 Pt 0.0000 0.0000 0.0000
Pt2 Pt 0.0000 0.0000 0.3393
Pt3 Pt 0.0000 0.0000 0.6607
Pt4 Pt 0.5000 0.5000 0.1699
Pt5 Pt 0.5000 0.5000 0.8301
Rh1 Rh 0.5000 0.5000 0.5000
```

=====

Here is Ru2PtRh2 after structural relaxation from the Alexandria database. Energies are from PBE.

Output
For the formation energy, the calculation gives -0.03 eV per atom. The symmetry is No. 164. For the energy above the lowest structure with this stoichiometry, the calculation gives 0.000 eV per atom. The calculation puts the total energy at -39.42 eV for the cell shown.

Structure (CIF):
```
data_Ru2PtRh2
_chemical_formula_sum 'Ru2 Pt1 Rh2'
_cell_length_a 2.7415
_cell_length_b 2.7415
_cell_length_c 11.0490
_cell_angle_alpha 90.00
_cell_angle_beta 90.00
_cell_angle_gamma 120.00
_space_group_name_H-M_alt 'P 1'
_space_group_IT_number 1
_space_group_name_Hall 'P 1'
loop_
_atom_site_label
_atom_site_type_symbol
_atom_site_fract_x
_atom_site_fract_y
_atom_site_fract_z
Ru1 Ru 0.3333 0.6667 0.4056
Ru2 Ru 0.6667 0.3333 0.5944
Pt1 Pt 0.0000 0.0000 0.0000
Rh1 Rh 0.3333 0.6667 0.7893
Rh2 Rh 0.6667 0.3333 0.2107
```

=====

Repeat the fourth record exactly.
Here is PtRh3 after structural relaxation from the Alexandria database. Energies are from PBE.

Output
For the formation energy, the calculation gives 0.05 eV per atom. The symmetry is No. 1. The calculation puts the total energy at -27.91 eV for the cell shown.

Structure (CIF):
```
data_PtRh3
_chemical_formula_sum 'Pt1 Rh3'
_cell_length_a 2.7504
_cell_length_b 4.7498
_cell_length_c 5.2391
_cell_angle_alpha 116.79
_cell_angle_beta 105.08
_cell_angle_gamma 90.01
_space_group_name_H-M_alt 'P 1'
_space_group_IT_number 1
_space_group_name_Hall 'P 1'
loop_
_atom_site_label
_atom_site_type_symbol
_atom_site_fract_x
_atom_site_fract_y
_atom_site_fract_z
Pt1 Pt 0.0000 0.0000 0.0000
Rh1 Rh 0.2495 0.9117 0.4972
Rh2 Rh 0.5004 0.4999 0.0002
Rh3 Rh 0.7523 0.4147 0.5034
```

=====

Question: Which formula does entry 6 have?
Answer: PtRh